Record 1
Entry from the Alexandria database: a relaxed structure of CaTbPm4S8 (PBE).

Output
E_form (uncorrected)	-1984	meV/atom
calculated volume	398.1	Å³ per cell
space group	No. 160
energy	-86.4	eV/cell

```
data_CaTbPm4S8
_cell_length_a 8.240
_cell_length_b 8.240
_cell_length_c 8.240
_cell_angle_alpha 60.27
_cell_angle_beta 60.27
_cell_angle_gamma 60.27
_space_group_name_H-M_alt 'P 1'
_space_group_IT_number 1
_space_group_name_Hall 'P 1'
loop_
_atom_site_label
_atom_site_type_symbol
_atom_site_fract_x
_atom_site_fract_y
_atom_site_fract_z
Ca1 Ca 0.000 0.000 0.000
Tb1 Tb 0.627 0.627 0.627
Pm1 Pm 0.119 0.627 0.627
Pm2 Pm 0.249 0.249 0.249
Pm3 Pm 0.627 0.119 0.627
Pm4 Pm 0.627 0.627 0.119
S1 S 0.383 0.383 0.383
S2 S 0.387 0.387 0.848
S3 S 0.387 0.848 0.387
S4 S 0.403 0.862 0.862
S5 S 0.848 0.387 0.387
S6 S 0.862 0.403 0.862
S7 S 0.862 0.862 0.403
S8 S 0.866 0.866 0.866
```

Record 2
Entry from the Alexandria database: a relaxed structure of Ca3Tb3PmS8 (PBE).

Output
E_form (uncorrected)	-2075	meV/atom
calculated volume	357.9	Å³ per cell
space group	No. 166
energy	-88.8	eV/cell

```
data_Ca3Tb3PmS8
_cell_length_a 8.004
_cell_length_b 8.004
_cell_length_c 8.004
_cell_angle_alpha 59.43
_cell_angle_beta 59.43
_cell_angle_gamma 59.43
_space_group_name_H-M_alt 'P 1'
_space_group_IT_number 1
_space_group_name_Hall 'P 1'
loop_
_atom_site_label
_atom_site_type_symbol
_atom_site_fract_x
_atom_site_fract_y
_atom_site_fract_z
Ca1 Ca 0.000 0.500 0.500
Ca2 Ca 0.500 0.000 0.500
Ca3 Ca 0.500 0.500 0.000
Tb1 Tb 0.000 0.000 0.500
Tb2 Tb 0.000 0.500 0.000
Tb3 Tb 0.500 0.000 0.000
Pm1 Pm 0.500 0.500 0.500
S1 S 0.244 0.750 0.750
S2 S 0.248 0.248 0.248
S3 S 0.250 0.250 0.756
S4 S 0.250 0.756 0.250
S5 S 0.750 0.244 0.750
S6 S 0.750 0.750 0.244
S7 S 0.752 0.752 0.752
S8 S 0.756 0.250 0.250
```

Record 3
Entry from the Alexandria database: a relaxed structure of CaPm2Tl3S6 (PBE).

Output
E_form (uncorrected)	-1324	meV/atom
calculated volume	324.6	Å³ per cell
space group	No. 12
energy	-59.3	eV/cell

```
data_CaPm2Tl3S6
_cell_length_a 7.196
_cell_length_b 7.196
_cell_length_c 7.622
_cell_angle_alpha 99.02
_cell_angle_beta 99.02
_cell_angle_gamma 120.01
_space_group_name_H-M_alt 'P 1'
_space_group_IT_number 1
_space_group_name_Hall 'P 1'
loop_
_atom_site_label
_atom_site_type_symbol
_atom_site_fract_x
_atom_site_fract_y
_atom_site_fract_z
Ca1 Ca 0.000 0.000 0.000
Pm1 Pm 0.333 0.667 0.000
Pm2 Pm 0.667 0.333 0.000
Tl1 Tl 0.165 0.835 0.500
Tl2 Tl 0.500 0.500 0.500
Tl3 Tl 0.835 0.165 0.500
S1 S 0.070 0.409 0.211
S2 S 0.268 0.268 0.791
S3 S 0.409 0.070 0.211
S4 S 0.591 0.930 0.789
S5 S 0.732 0.732 0.209
S6 S 0.930 0.591 0.789
```

Record 4
Entry from the Alexandria database: a relaxed structure of Ca2PmTmS4 (PBE).

Output
E_form (uncorrected)	-2041	meV/atom
calculated volume	178.4	Å³ per cell
space group	No. 10
energy	-46.1	eV/cell

```
data_Ca2PmTmS4
_cell_length_a 6.862
_cell_length_b 3.954
_cell_length_c 6.957
_cell_angle_alpha 90.00
_cell_angle_beta 109.11
_cell_angle_gamma 90.00
_space_group_name_H-M_alt 'P 1'
_space_group_IT_number 1
_space_group_name_Hall 'P 1'
loop_
_atom_site_label
_atom_site_type_symbol
_atom_site_fract_x
_atom_site_fract_y
_atom_site_fract_z
Ca1 Ca 0.000 0.000 0.000
Ca2 Ca 0.500 0.500 0.000
Pm1 Pm 0.000 0.500 0.500
Tm1 Tm 0.500 0.000 0.500
S1 S 0.259 0.000 0.750
S2 S 0.260 0.500 0.257
S3 S 0.740 0.500 0.743
S4 S 0.741 0.000 0.250
```

Record 5
Entry from the Alexandria database: a relaxed structure of Ca2PmUS6 (PBE).

Output
E_form (uncorrected)	-1775	meV/atom
calculated volume	265.1	Å³ per cell
space group	No. 146
energy	-62.6	eV/cell

```
data_Ca2PmUS6
_cell_length_a 7.411
_cell_length_b 7.411
_cell_length_c 7.411
_cell_angle_alpha 56.58
_cell_angle_beta 56.58
_cell_angle_gamma 56.58
_space_group_name_H-M_alt 'P 1'
_space_group_IT_number 1
_space_group_name_Hall 'P 1'
loop_
_atom_site_label
_atom_site_type_symbol
_atom_site_fract_x
_atom_site_fract_y
_atom_site_fract_z
Ca1 Ca 0.000 0.000 0.000
Ca2 Ca 0.494 0.494 0.494
Pm1 Pm 0.203 0.203 0.203
U1 U 0.696 0.696 0.696
S1 S 0.065 0.430 0.814
S2 S 0.323 0.902 0.594
S3 S 0.430 0.814 0.065
S4 S 0.594 0.323 0.902
S5 S 0.814 0.065 0.430
S6 S 0.902 0.594 0.323
```

Record 6
Entry from the Alexandria database: a relaxed structure of Ca2PmYS4 (PBE).

Output
E_form (uncorrected)	-2059	meV/atom
calculated volume	181.0	Å³ per cell
space group	No. 10
energy	-48.2	eV/cell

```
data_Ca2PmYS4
_cell_length_a 6.884
_cell_length_b 3.975
_cell_length_c 7.000
_cell_angle_alpha 90.00
_cell_angle_beta 109.13
_cell_angle_gamma 90.00
_space_group_name_H-M_alt 'P 1'
_space_group_IT_number 1
_space_group_name_Hall 'P 1'
loop_
_atom_site_label
_atom_site_type_symbol
_atom_site_fract_x
_atom_site_fract_y
_atom_site_fract_z
Ca1 Ca 0.000 0.000 0.000
Ca2 Ca 0.500 0.500 0.000
Pm1 Pm 0.000 0.500 0.500
Y1 Y 0.500 0.000 0.500
S1 S 0.255 0.500 0.252
S2 S 0.256 0.000 0.752
S3 S 0.744 0.000 0.248
S4 S 0.745 0.500 0.748
```

Record 7
Entry from the Alexandria database: a relaxed structure of CaPm4Y3S8 (PBE).

Output
E_form (uncorrected)	-2025	meV/atom
calculated volume	358.4	Å³ per cell
space group	No. 166
energy	-105.8	eV/cell

```
data_CaPm4Y3S8
_cell_length_a 7.999
_cell_length_b 7.999
_cell_length_c 7.999
_cell_angle_alpha 59.57
_cell_angle_beta 59.57
_cell_angle_gamma 59.57
_space_group_name_H-M_alt 'P 1'
_space_group_IT_number 1
_space_group_name_Hall 'P 1'
loop_
_atom_site_label
_atom_site_type_symbol
_atom_site_fract_x
_atom_site_fract_y
_atom_site_fract_z
Ca1 Ca 0.000 0.000 0.000
Pm1 Pm 0.000 0.000 0.500
Pm2 Pm 0.000 0.500 0.000
Pm3 Pm 0.500 0.000 0.000
Pm4 Pm 0.500 0.500 0.500
Y1 Y 0.000 0.500 0.500
Y2 Y 0.500 0.000 0.500
Y3 Y 0.500 0.500 0.000
S1 S 0.247 0.247 0.746
S2 S 0.247 0.746 0.247
S3 S 0.254 0.254 0.254
S4 S 0.254 0.753 0.753
S5 S 0.746 0.247 0.247
S6 S 0.746 0.746 0.746
S7 S 0.753 0.254 0.753
S8 S 0.753 0.753 0.254
```

Record 8
Entry from the Alexandria database: a relaxed structure of Ca3Pm3YS8 (PBE).

Output
E_form (uncorrected)	-2086	meV/atom
calculated volume	369.2	Å³ per cell
space group	No. 166
energy	-91.0	eV/cell

```
data_Ca3Pm3YS8
_cell_length_a 8.072
_cell_length_b 8.072
_cell_length_c 8.072
_cell_angle_alpha 59.67
_cell_angle_beta 59.67
_cell_angle_gamma 59.67
_space_group_name_H-M_alt 'P 1'
_space_group_IT_number 1
_space_group_name_Hall 'P 1'
loop_
_atom_site_label
_atom_site_type_symbol
_atom_site_fract_x
_atom_site_fract_y
_atom_site_fract_z
Ca1 Ca 0.000 0.500 0.500
Ca2 Ca 0.500 0.000 0.500
Ca3 Ca 0.500 0.500 0.000
Pm1 Pm 0.000 0.000 0.500
Pm2 Pm 0.000 0.500 0.000
Pm3 Pm 0.500 0.000 0.000
Y1 Y 0.500 0.500 0.500
S1 S 0.251 0.251 0.251
S2 S 0.257 0.742 0.742
S3 S 0.258 0.258 0.743
S4 S 0.258 0.743 0.258
S5 S 0.742 0.257 0.742
S6 S 0.742 0.742 0.257
S7 S 0.743 0.258 0.258
S8 S 0.749 0.749 0.749
```

Record 9
Entry from the Alexandria database: a relaxed structure of CaPm2YS4 (PBE).

Output
E_form (uncorrected)	-2040	meV/atom
calculated volume	180.8	Å³ per cell
space group	No. 10
energy	-50.8	eV/cell

```
data_CaPm2YS4
_cell_length_a 6.912
_cell_length_b 3.976
_cell_length_c 6.961
_cell_angle_alpha 90.00
_cell_angle_beta 109.08
_cell_angle_gamma 90.00
_space_group_name_H-M_alt 'P 1'
_space_group_IT_number 1
_space_group_name_Hall 'P 1'
loop_
_atom_site_label
_atom_site_type_symbol
_atom_site_fract_x
_atom_site_fract_y
_atom_site_fract_z
Ca1 Ca 0.000 0.000 0.000
Pm1 Pm 0.000 0.500 0.500
Pm2 Pm 0.500 0.000 0.500
Y1 Y 0.500 0.500 0.000
S1 S 0.249 0.500 0.242
S2 S 0.254 0.000 0.760
S3 S 0.746 0.000 0.240
S4 S 0.751 0.500 0.758
```

Record 10
Entry from the Alexandria database: a relaxed structure of Ca3Pm3ZnS8 (PBE).

Output
E_form (uncorrected)	-1837	meV/atom
calculated volume	363.7	Å³ per cell
space group	No. 166
energy	-82.1	eV/cell

```
data_Ca3Pm3ZnS8
_cell_length_a 8.042
_cell_length_b 8.042
_cell_length_c 8.042
_cell_angle_alpha 59.52
_cell_angle_beta 59.52
_cell_angle_gamma 59.52
_space_group_name_H-M_alt 'P 1'
_space_group_IT_number 1
_space_group_name_Hall 'P 1'
loop_
_atom_site_label
_atom_site_type_symbol
_atom_site_fract_x
_atom_site_fract_y
_atom_site_fract_z
Ca1 Ca 0.000 0.500 0.500
Ca2 Ca 0.500 0.000 0.500
Ca3 Ca 0.500 0.500 0.000
Pm1 Pm 0.000 0.000 0.500
Pm2 Pm 0.000 0.500 0.000
Pm3 Pm 0.500 0.000 0.000
Zn1 Zn 0.500 0.500 0.500
S1 S 0.251 0.251 0.251
S2 S 0.264 0.735 0.735
S3 S 0.265 0.265 0.736
S4 S 0.265 0.736 0.265
S5 S 0.735 0.264 0.735
S6 S 0.735 0.735 0.264
S7 S 0.736 0.265 0.265
S8 S 0.749 0.749 0.749
```

Record 11
Entry from the Alexandria database: a relaxed structure of CaPmSb (PBE).

Output
E_form (uncorrected)	-770	meV/atom
calculated volume	373.9	Å³ per cell
excess energy over the best structure of this formula in the dataset	43	meV/atom
space group	No. 63
energy	-52.7	eV/cell

```
data_CaPmSb
_cell_length_a 4.624
_cell_length_b 12.234
_cell_length_c 6.611
_cell_angle_alpha 90.00
_cell_angle_beta 90.00
_cell_angle_gamma 90.00
_space_group_name_H-M_alt 'P 1'
_space_group_IT_number 1
_space_group_name_Hall 'P 1'
loop_
_atom_site_label
_atom_site_type_symbol
_atom_site_fract_x
_atom_site_fract_y
_atom_site_fract_z
Ca1 Ca 0.000 0.000 0.000
Ca2 Ca 0.000 0.000 0.500
Ca3 Ca 0.500 0.500 0.000
Ca4 Ca 0.500 0.500 0.500
Pm1 Pm 0.000 0.301 0.250
Pm2 Pm 0.000 0.699 0.750
Pm3 Pm 0.500 0.199 0.750
Pm4 Pm 0.500 0.801 0.250
Sb1 Sb 0.000 0.379 0.750
Sb2 Sb 0.000 0.621 0.250
Sb3 Sb 0.500 0.121 0.250
Sb4 Sb 0.500 0.879 0.750
```

Record 12
Entry from the Alexandria database: a relaxed structure of CaPm4Sb5 (PBE).

Output
E_form (uncorrected)	-1095	meV/atom
calculated volume	322.9	Å³ per cell
space group	No. 71
energy	-52.6	eV/cell

```
data_CaPm4Sb5
_cell_length_a 11.936
_cell_length_b 11.936
_cell_length_c 11.936
_cell_angle_alpha 158.30
_cell_angle_beta 149.06
_cell_angle_gamma 38.11
_space_group_name_H-M_alt 'P 1'
_space_group_IT_number 1
_space_group_name_Hall 'P 1'
loop_
_atom_site_label
_atom_site_type_symbol
_atom_site_fract_x
_atom_site_fract_y
_atom_site_fract_z
Ca1 Ca 0.000 0.000 0.000
Pm1 Pm 0.200 0.200 0.000
Pm2 Pm 0.401 0.401 0.000
Pm3 Pm 0.599 0.599 0.000
Pm4 Pm 0.800 0.800 0.000
Sb1 Sb 0.103 0.603 0.500
Sb2 Sb 0.301 0.801 0.500
Sb3 Sb 0.500 0.000 0.500
Sb4 Sb 0.699 0.199 0.500
Sb5 Sb 0.897 0.397 0.500
```